Entry 1:
Entry from Alexandria via LeMat-Bulk: AlOs3S after structural relaxation (PBE).

Cell: 4.3309 4.3309 4.3309 Å, 90.00 90.00 90.00°
Closest atoms and distances in Å follow each position.
Atoms (fractional coordinates):
Al 0.0000 0.0000 0.0000  12 Os 3.06
Os 0.0000 0.5000 0.5000  2 S 2.17
Os 0.5000 0.0000 0.5000  2 S 2.17
Os 0.5000 0.5000 0.0000  2 S 2.17
S 0.5000 0.5000 0.5000  6 Os 2.17

Calculated values
**Distance to the lowest polymorph of the same formula**: 0.0 meV/atom
**Space-group type**: Pm-3m (221)
**Energy relative to the elements, uncorrected**: 0.99 eV per atom
**Size of the total moment**: 0.0 μB/f.u.
**Crystal system**: cubic

***

Entry 2:
Entry from Alexandria via LeMat-Bulk: ZrCd5Hg2 after structural relaxation (PBE).

Cell: 6.5122 16.6556 3.2946 Å, 90.00 90.00 90.00°
Closest atoms and distances in Å follow each position.
Atoms (fractional coordinates):
Zr 0.0000 0.0000 0.0000  4 Hg 3.04, 6 Cd 3.14-3.26, 2 Zr 3.29
Zr 0.5000 0.5000 0.0000  4 Hg 3.04, 6 Cd 3.14-3.26, 2 Zr 3.29
Cd 0.0000 0.5000 0.0000  6 Cd 3.12-3.29, 4 Hg 3.17, 2 Zr 3.26
Cd 0.0153 0.2569 0.0000  4 Hg 3.06-3.19, 8 Cd 3.06-3.29
Cd 0.2462 0.6265 0.5000  8 Cd 3.06-3.29, 2 Zr 3.14, 2 Hg 3.16-3.35
Cd 0.2538 0.1265 0.5000  8 Cd 3.06-3.29, 2 Zr 3.14, 2 Hg 3.16-3.35
Cd 0.4847 0.7569 0.0000  4 Hg 3.06-3.19, 8 Cd 3.06-3.29
Cd 0.5000 0.0000 0.0000  6 Cd 3.12-3.29, 4 Hg 3.17, 2 Zr 3.26
Cd 0.5153 0.2431 0.0000  4 Hg 3.06-3.19, 8 Cd 3.06-3.29
Cd 0.7462 0.8735 0.5000  8 Cd 3.06-3.29, 2 Zr 3.14, 2 Hg 3.16-3.35
Cd 0.7538 0.3735 0.5000  8 Cd 3.06-3.29, 2 Zr 3.14, 2 Hg 3.16-3.35
Cd 0.9847 0.7431 0.0000  4 Hg 3.06-3.19, 8 Cd 3.06-3.29
Hg 0.2310 0.8756 0.5000  2 Zr 3.04, 8 Cd 3.06-3.35, 2 Hg 3.29
Hg 0.2690 0.3756 0.5000  2 Zr 3.04, 8 Cd 3.06-3.35, 2 Hg 3.29
Hg 0.7310 0.6244 0.5000  2 Zr 3.04, 8 Cd 3.06-3.35, 2 Hg 3.29
Hg 0.7690 0.1244 0.5000  2 Zr 3.04, 8 Cd 3.06-3.35, 2 Hg 3.29

Calculated values
**Space-group type**: Pbam (55)
**ΔH_f (0 K)**: -0.0215 eV per atom
**Size of the total moment**: 0.0 μB/f.u.
**Crystal system**: orthorhombic

***

Entry 3:
Entry from Alexandria via LeMat-Bulk: InTe2PbN after structural relaxation (PBE).

Cell: 5.9212 5.9212 4.4891 Å, 90.00 90.00 90.00°
Closest atoms and distances in Å follow each position.
Atoms (fractional coordinates):
In 0.0000 0.0000 0.0000  2 N 2.24
Te 0.0000 0.5000 0.0000  2 In 2.96
Te 0.5000 0.0000 0.0000  2 In 2.96
Pb 0.5000 0.5000 0.5000  8 Te 3.72
N 0.0000 0.0000 0.5000  2 In 2.24

Calculated values
**Distance to the lowest polymorph of the same formula**: 0.0 meV/atom
**Space-group type**: P4/mmm (123)
**Energy relative to the elements, uncorrected**: 0.72 eV per atom
**Size of the total moment**: 0.0 μB/f.u.
**Crystal system**: tetragonal

***

Entry 4:
Entry from Alexandria via LeMat-Bulk: TeSCl2 after structural relaxation (PBE).

Cell: 7.6608 7.6608 7.6608 Å, 120.72 120.72 88.76°
Closest atoms and distances in Å follow each position.
Atoms (fractional coordinates):
Te 0.3750 0.6250 0.7500  12 Cl 4.45-4.52, 4 Te 4.67, 4 S 4.67
Te 0.6250 0.3750 0.2500  12 Cl 4.45-4.52, 4 Te 4.67, 4 S 4.67
S 0.1250 0.8750 0.2500  4 Cl 2.34
S 0.8750 0.1250 0.7500  4 Cl 2.34
Cl 0.0000 0.0000 0.0000  2 S 2.34
Cl 0.0000 0.0000 0.5000  2 S 2.34
Cl 0.0000 0.5000 0.0000  2 S 2.34
Cl 0.5000 0.0000 0.5000  2 S 2.34

Calculated values
**Distance to the lowest polymorph of the same formula**: 876.0 meV/atom
**Space-group type**: I4_1/amd (141)
**Energy relative to the elements, uncorrected**: 0.59 eV per atom
**Size of the total moment**: 2.0 μB/f.u.
**Crystal system**: tetragonal

***

Entry 5:
Entry from Alexandria via LeMat-Bulk: Pa3CN2 after structural relaxation (PBE).

Cell: 6.1100 6.1100 6.1100 Å, 146.25 131.69 60.22°
Closest atoms and distances in Å follow each position.
Atoms (fractional coordinates):
Pa 0.0000 0.0000 0.0000  4 N 2.48, 2 C 2.50
Pa 0.3322 0.3322 0.0000  4 N 2.50-2.51, 2 C 2.51
Pa 0.6678 0.6678 0.0000  4 N 2.50-2.51, 2 C 2.51
C 0.5000 0.0000 0.5000  6 Pa 2.50-2.51
N 0.1647 0.6647 0.5000  6 Pa 2.48-2.51
N 0.8353 0.3353 0.5000  6 Pa 2.48-2.51

Calculated values
**Space-group type**: Immm (71)
**Energy relative to the elements, uncorrected**: -1.27 eV per atom
**Size of the total moment**: 0.0 μB/f.u.
**Crystal system**: orthorhombic

***

Entry 6:
Entry from Alexandria via LeMat-Bulk: LiAc4La after structural relaxation (PBE).

Cell: 3.9661 3.9661 15.1725 Å, 90.00 90.00 90.00°
Closest atoms and distances in Å follow each position.
Atoms (fractional coordinates):
Li 0.0000 0.0000 0.0000  8 Ac 3.53
Ac 0.0000 0.0000 0.3250  4 La 3.86, 8 Ac 3.96-3.97
Ac 0.0000 0.0000 0.6750  4 La 3.86, 8 Ac 3.96-3.97
Ac 0.5000 0.5000 0.1410  4 Li 3.53
Ac 0.5000 0.5000 0.8590  4 Li 3.53
La 0.5000 0.5000 0.5000  8 Ac 3.86, 4 La 3.97

Calculated values
**Space-group type**: P4/mmm (123)
**ΔH_f (0 K)**: 0.0368 eV per atom
**Size of the total moment**: 0.0 μB/f.u.
**Crystal system**: tetragonal

***

Entry 7:
Entry from Alexandria via LeMat-Bulk: Y2BeAu after structural relaxation (PBE).

Cell: 3.5418 3.5418 6.9258 Å, 90.00 90.00 90.00°
Closest atoms and distances in Å follow each position.
Atoms (fractional coordinates):
Y 0.0000 0.0000 0.2372  4 Be 3.00, 4 Au 3.10, 1 Y 3.29
Y 0.0000 0.0000 0.7628  4 Be 3.00, 4 Au 3.10, 1 Y 3.29
Be 0.5000 0.5000 0.0000  8 Y 3.00
Au 0.5000 0.5000 0.5000  8 Y 3.10, 2 Be 3.46

Calculated values
**Space-group type**: P4/mmm (123)
**ΔH_f (0 K)**: -0.3859 eV per atom
**Size of the total moment**: 0.0 μB/f.u.
**Crystal system**: tetragonal

***

Entry 8:
Entry from Alexandria via LeMat-Bulk: CaHg2 after structural relaxation (PBE).

Cell: 7.3662 7.3662 7.3662 Å, 90.00 90.00 90.00°
Closest atoms and distances in Å follow each position.
Atoms (fractional coordinates):
Ca 0.0000 0.0000 0.0000  6 Hg 3.07
Ca 0.0000 0.5000 0.5000  6 Hg 3.07
Ca 0.5000 0.0000 0.5000  6 Hg 3.07
Ca 0.5000 0.5000 0.0000  6 Hg 3.07
Hg 0.1167 0.6167 0.8833  1 Hg 2.98, 3 Ca 3.07
Hg 0.1167 0.8833 0.3833  1 Hg 2.98, 3 Ca 3.07
Hg 0.3833 0.1167 0.8833  1 Hg 2.98, 3 Ca 3.07
Hg 0.3833 0.3833 0.3833  1 Hg 2.98, 3 Ca 3.07
Hg 0.6167 0.6167 0.6167  1 Hg 2.98, 3 Ca 3.07
Hg 0.6167 0.8833 0.1167  1 Hg 2.98, 3 Ca 3.07
Hg 0.8833 0.1167 0.6167  1 Hg 2.98, 3 Ca 3.07
Hg 0.8833 0.3833 0.1167  1 Hg 2.98, 3 Ca 3.07

Calculated values
**Space-group type**: Pa-3 (205)
**ΔH_f (0 K)**: -0.1355 eV per atom
**Size of the total moment**: 0.0 μB/f.u.
**Crystal system**: cubic